# MnCoN2O

MnCoN2O after structural relaxation (PBE+U, Alexandria via LeMat-Bulk).

Its uncorrected energy is -5.9890 eV/atom.

The structure belongs to space group P4/mmm (No. 123); the cell edges are 3.7681, 3.7681 and 3.8494 Å and the angles 90.00°, 90.00° and 90.00°. Symmetry generates all atoms from Mn at (0.0000, 0.0000, 0.0000), Co at (0.5000, 0.5000, 0.5000), N at (0.0000, 0.5000, 0.0000) and O at (0.0000, 0.0000, 0.5000).